# FeCuSn3 | Alexandria via LeMat-Bulk | PBE-GGA | relaxed
# energy relative to the lowest polymorph listed for this composition: 0.0 meV/atom
# total magnetic moment: 0.00 μB/atom
# energy of formation from the pure elements: 370.5 meV/atom
data_FeCuSn3
_cell_length_a 4.839
_cell_length_b 4.839
_cell_length_c 4.839
_cell_angle_alpha 90.00
_cell_angle_beta 90.00
_cell_angle_gamma 90.00
_space_group_name_H-M_alt 'P m -3 m'
_space_group_IT_number 221
_space_group_name_Hall '-P 4 2 3'
loop_
_atom_site_label
_atom_site_type_symbol
_atom_site_fract_x
_atom_site_fract_y
_atom_site_fract_z
_atom_site_occupancy
Fe1 Fe 0.000 0.000 0.000 1
Cu1 Cu 0.500 0.500 0.500 1
Sn1 Sn 0.000 0.000 0.500 1